! PBE Na2NbPdW, relaxed; values from VASP
&SYSTEM
  ibrav = 0, nat = 5, ntyp = 4
/
ATOMIC_SPECIES
W 183.84 W.upf
Pd 106.42 Pd.upf
Na 22.99 Na.upf
Nb 92.91 Nb.upf
CELL_PARAMETERS angstrom
-2.4381 0.6899 -4.5770
-3.6343 -2.5282 1.5549
-2.2376 4.3529 1.8480
ATOMIC_POSITIONS crystal
W 0.0000 0.0000 0.0000
Pd 0.0000 0.5000 0.0000
Na 0.0000 0.0000 0.5000
Na 0.5000 0.0000 0.0000
Nb 0.5000 0.5000 0.5000
! **Total DFT energy (no corrections)**: -3.97 eV/atom
! **M_tot**: 2.30 μB per formula unit
! **Formation enthalpy at 0 K**: 2198 meV/atom
! **Space group**: P4/mmm, No. 123

---

! PBE PuTl2Ag, relaxed; values from VASP
&SYSTEM
  ibrav = 0, nat = 4, ntyp = 3
/
ATOMIC_SPECIES
Tl 204.38 Tl.upf
Pu 244.00 Pu.upf
Ag 107.87 Ag.upf
CELL_PARAMETERS angstrom
3.3930 -0.0024 0.0019
1.6944 2.9396 0.0019
1.7015 0.9824 10.2007
ATOMIC_POSITIONS crystal
Tl 0.0759 0.0759 0.7715
Tl 0.2570 0.2570 0.2286
Pu 0.5005 0.5005 0.4997
Ag 0.6665 0.6665 0.0002
! **Total DFT energy (no corrections)**: -5.35 eV/atom
! **M_tot**: 6.13 μB per formula unit
! **Offset from the most stable computed form**: 87 meV/atom
! **Formation enthalpy at 0 K**: 131 meV/atom
! **Space group**: Cm, No. 8

---

! PBE Pm4PdRu, relaxed; values from VASP
&SYSTEM
  ibrav = 0, nat = 12, ntyp = 3
/
ATOMIC_SPECIES
Ru 101.07 Ru.upf
Pd 106.42 Pd.upf
Pm 145.00 Pm.upf
CELL_PARAMETERS angstrom
-5.3340 1.5277 -3.4882
2.9713 -2.7648 -5.7544
-2.8129 -6.2648 1.5575
ATOMIC_POSITIONS crystal
Ru 0.7500 0.5000 0.5000
Ru 0.2500 0.5000 0.5000
Pd 0.2500 0.0000 0.0000
Pd 0.7500 0.0000 0.0000
Pm 0.5000 0.8110 0.6734
Pm 0.5000 0.3266 0.8110
Pm 0.0000 0.1890 0.6734
Pm 0.0000 0.3266 0.1890
Pm 0.5000 0.6734 0.1890
Pm 0.5000 0.1890 0.3266
Pm 0.0000 0.6734 0.8110
Pm 0.0000 0.8110 0.3266
! **Total DFT energy (no corrections)**: -5.94 eV/atom
! **M_tot**: 0.00 μB per formula unit
! **Offset from the most stable computed form**: 0 meV/atom
! **Formation enthalpy at 0 K**: -358 meV/atom
! **Space group**: P4/mcc, No. 124

---

! PBE ZrMoC2, relaxed; values from VASP
&SYSTEM
  ibrav = 0, nat = 4, ntyp = 3
/
ATOMIC_SPECIES
Mo 95.94 Mo.upf
C 12.01 C.upf
Zr 91.22 Zr.upf
CELL_PARAMETERS angstrom
-3.0672 0.5385 -0.4740
-1.1294 0.1975 -2.9339
-2.3507 -5.1749 -1.1345
ATOMIC_POSITIONS crystal
Mo 0.4954 0.4954 0.5139
C 0.0890 0.0890 0.7329
C 0.2433 0.2433 0.2700
Zr 0.6723 0.6723 0.9832
! **Total DFT energy (no corrections)**: -9.81 eV/atom
! **M_tot**: 0.00 μB per formula unit
! **Offset from the most stable computed form**: 13 meV/atom
! **Formation enthalpy at 0 K**: -349 meV/atom
! **Space group**: R3m, No. 160

---

! PBE NdAl2GaAg2, relaxed; values from VASP
&SYSTEM
  ibrav = 0, nat = 6, ntyp = 4
/
ATOMIC_SPECIES
Al 26.98 Al.upf
Ag 107.87 Ag.upf
Ga 69.72 Ga.upf
Nd 144.24 Nd.upf
CELL_PARAMETERS angstrom
-3.9338 -2.6876 -0.7021
2.7703 -3.7065 -1.3334
0.2443 -1.7902 5.4839
ATOMIC_POSITIONS crystal
Al 0.5000 0.0000 0.0000
Al 0.0000 0.5000 0.0000
Ag 0.5000 0.5000 0.7376
Ag 0.5000 0.5000 0.2624
Ga 0.0000 0.0000 0.0000
Nd 0.0000 0.0000 0.5000
! **Total DFT energy (no corrections)**: -3.47 eV/atom
! **M_tot**: 0.00 μB per formula unit
! **Formation enthalpy at 0 K**: 28 meV/atom
! **Space group**: P4/mmm, No. 123

---

! PBE LiCa3Sc, relaxed; values from VASP
&SYSTEM
  ibrav = 0, nat = 5, ntyp = 3
/
ATOMIC_SPECIES
Ca 40.08 Ca.upf
Li 6.94 Li.upf
Sc 44.96 Sc.upf
CELL_PARAMETERS angstrom
6.1020 0.0000 0.0000
0.0000 6.1020 0.0000
0.0000 0.0000 6.1020
ATOMIC_POSITIONS crystal
Ca 0.0000 0.5000 0.0000
Ca 0.0000 0.0000 0.5000
Ca 0.5000 0.0000 0.0000
Li 0.5000 0.5000 0.5000
Sc 0.0000 0.0000 0.0000
! **Total DFT energy (no corrections)**: -2.16 eV/atom
! **M_tot**: 3.51 μB per formula unit
! **Offset from the most stable computed form**: 227 meV/atom
! **Formation enthalpy at 0 K**: 692 meV/atom
! **Space group**: Pm-3m, No. 221